--- A ---
# PBE-GGA AcLa2, optimized geometry
# **M_tot**: 0.0 μB/cell
data_AcLa2
_symmetry_space_group_name_H-M 'P 1'
_symmetry_Int_Tables_number 1
_symmetry_space_group_name_Hall 'P 1'
_cell_length_a 6.003
_cell_length_b 6.003
_cell_length_c 3.773
_cell_angle_alpha 90.00
_cell_angle_beta 90.00
_cell_angle_gamma 120.00
loop_
_atom_site_label
_atom_site_type_symbol
_atom_site_fract_x
_atom_site_fract_y
_atom_site_fract_z
Ac1 Ac 0.000 0.000 0.000
La1 La 0.333 0.667 0.499
La2 La 0.667 0.333 0.501



--- B ---
# PBE-GGA AcLa2, optimized geometry
# **M_tot**: 0.0 μB/cell
data_AcLa2
_symmetry_space_group_name_H-M 'P 1'
_symmetry_Int_Tables_number 1
_symmetry_space_group_name_Hall 'P 1'
_cell_length_a 6.938
_cell_length_b 6.938
_cell_length_c 6.938
_cell_angle_alpha 60.00
_cell_angle_beta 60.00
_cell_angle_gamma 60.00
loop_
_atom_site_label
_atom_site_type_symbol
_atom_site_fract_x
_atom_site_fract_y
_atom_site_fract_z
Ac1 Ac 0.000 0.000 0.000
Ac2 Ac 0.250 0.250 0.250
La1 La 0.125 0.625 0.625
La2 La 0.625 0.125 0.625
La3 La 0.625 0.625 0.625
La4 La 0.625 0.625 0.125



--- C ---
# PBE-GGA AcLa2, optimized geometry
# **M_tot**: 0.0 μB/cell
data_AcLa2
_symmetry_space_group_name_H-M 'P 1'
_symmetry_Int_Tables_number 1
_symmetry_space_group_name_Hall 'P 1'
_cell_length_a 3.830
_cell_length_b 3.830
_cell_length_c 8.513
_cell_angle_alpha 103.00
_cell_angle_beta 103.00
_cell_angle_gamma 90.00
loop_
_atom_site_label
_atom_site_type_symbol
_atom_site_fract_x
_atom_site_fract_y
_atom_site_fract_z
Ac1 Ac 0.000 0.000 0.000
La1 La 0.671 0.671 0.343
La2 La 0.329 0.329 0.657



Most stable to least stable: C, A, B



--- A ---
# PBE-GGA Ac2La3, optimized geometry
# **M_tot**: 0.0 μB/cell
data_Ac2La3
_symmetry_space_group_name_H-M 'P 1'
_symmetry_Int_Tables_number 1
_symmetry_space_group_name_Hall 'P 1'
_cell_length_a 5.400
_cell_length_b 6.636
_cell_length_c 6.664
_cell_angle_alpha 80.20
_cell_angle_beta 66.10
_cell_angle_gamma 65.99
loop_
_atom_site_label
_atom_site_type_symbol
_atom_site_fract_x
_atom_site_fract_y
_atom_site_fract_z
Ac1 Ac 0.403 0.895 0.299
Ac2 Ac 0.597 0.105 0.701
La1 La 0.799 0.305 0.097
La2 La 0.000 0.500 0.500
La3 La 0.201 0.695 0.903



--- B ---
# PBE-GGA Ac2La3, optimized geometry
# **M_tot**: 0.0 μB/cell
data_Ac2La3
_symmetry_space_group_name_H-M 'P 1'
_symmetry_Int_Tables_number 1
_symmetry_space_group_name_Hall 'P 1'
_cell_length_a 6.470
_cell_length_b 6.470
_cell_length_c 12.657
_cell_angle_alpha 75.19
_cell_angle_beta 75.19
_cell_angle_gamma 60.00
loop_
_atom_site_label
_atom_site_type_symbol
_atom_site_fract_x
_atom_site_fract_y
_atom_site_fract_z
Ac1 Ac 0.834 0.834 0.497
Ac2 Ac 0.334 0.334 0.997
Ac3 Ac 0.166 0.166 0.503
Ac4 Ac 0.666 0.666 0.003
La1 La 0.086 0.750 0.750
La2 La 0.750 0.414 0.750
La3 La 0.414 0.086 0.750
La4 La 0.250 0.586 0.250
La5 La 0.586 0.914 0.250
La6 La 0.914 0.250 0.250



Most stable to least stable: A, B



--- A ---
# PBE-GGA LiAc2La, optimized geometry
# **M_tot**: 0.0 μB/cell
data_LiAc2La
_symmetry_space_group_name_H-M 'P 1'
_symmetry_Int_Tables_number 1
_symmetry_space_group_name_Hall 'P 1'
_cell_length_a 3.877
_cell_length_b 3.877
_cell_length_c 12.174
_cell_angle_alpha 80.84
_cell_angle_beta 80.84
_cell_angle_gamma 60.00
loop_
_atom_site_label
_atom_site_type_symbol
_atom_site_fract_x
_atom_site_fract_y
_atom_site_fract_z
Li1 Li 0.667 0.667 0.999
Ac1 Ac 0.079 0.079 0.762
Ac2 Ac 0.254 0.254 0.238
La1 La 0.500 0.500 0.501



--- B ---
# PBE-GGA LiAc2La, optimized geometry
# **M_tot**: 0.0 μB/cell
data_LiAc2La
_symmetry_space_group_name_H-M 'P 1'
_symmetry_Int_Tables_number 1
_symmetry_space_group_name_Hall 'P 1'
_cell_length_a 3.944
_cell_length_b 3.944
_cell_length_c 9.551
_cell_angle_alpha 90.00
_cell_angle_beta 90.00
_cell_angle_gamma 90.00
loop_
_atom_site_label
_atom_site_type_symbol
_atom_site_fract_x
_atom_site_fract_y
_atom_site_fract_z
Ac1 Ac 0.000 0.000 0.777
Ac2 Ac 0.000 0.000 0.223
Li1 Li 0.500 0.500 0.000
La1 La 0.500 0.500 0.500



Most stable to least stable: B, A



--- A ---
# PBE-GGA LiAcLaTb, optimized geometry
# **M_tot**: 0.0 μB/cell
data_LiAcLaTb
_symmetry_space_group_name_H-M 'P 1'
_symmetry_Int_Tables_number 1
_symmetry_space_group_name_Hall 'P 1'
_cell_length_a 5.811
_cell_length_b 5.811
_cell_length_c 5.811
_cell_angle_alpha 60.00
_cell_angle_beta 60.00
_cell_angle_gamma 60.00
loop_
_atom_site_label
_atom_site_type_symbol
_atom_site_fract_x
_atom_site_fract_y
_atom_site_fract_z
Ac1 Ac 0.500 0.500 0.500
Li1 Li 0.000 0.000 0.000
Tb1 Tb 0.750 0.750 0.750
La1 La 0.250 0.250 0.250



--- B ---
# PBE-GGA LiAcLaTb, optimized geometry
# **M_tot**: 0.0 μB/cell
data_LiAcLaTb
_symmetry_space_group_name_H-M 'P 1'
_symmetry_Int_Tables_number 1
_symmetry_space_group_name_Hall 'P 1'
_cell_length_a 5.791
_cell_length_b 5.791
_cell_length_c 5.791
_cell_angle_alpha 60.00
_cell_angle_beta 60.00
_cell_angle_gamma 60.00
loop_
_atom_site_label
_atom_site_type_symbol
_atom_site_fract_x
_atom_site_fract_y
_atom_site_fract_z
Ac1 Ac 0.250 0.250 0.250
Li1 Li 0.500 0.500 0.500
Tb1 Tb 0.000 0.000 0.000
La1 La 0.750 0.750 0.750



Most stable to least stable: B, A



--- A ---
# PBE-GGA Ac2LaLu, optimized geometry
# **M_tot**: 0.0 μB/cell
data_Ac2LaLu
_symmetry_space_group_name_H-M 'P 1'
_symmetry_Int_Tables_number 1
_symmetry_space_group_name_Hall 'P 1'
_cell_length_a 5.290
_cell_length_b 5.397
_cell_length_c 5.397
_cell_angle_alpha 90.00
_cell_angle_beta 90.00
_cell_angle_gamma 90.00
loop_
_atom_site_label
_atom_site_type_symbol
_atom_site_fract_x
_atom_site_fract_y
_atom_site_fract_z
Ac1 Ac 0.000 0.000 0.500
Ac2 Ac 0.000 0.500 0.000
Lu1 Lu 0.500 0.500 0.500
La1 La 0.500 0.000 0.000



--- B ---
# PBE-GGA Ac2LaLu, optimized geometry
# **M_tot**: 0.0 μB/cell
data_Ac2LaLu
_symmetry_space_group_name_H-M 'P 1'
_symmetry_Int_Tables_number 1
_symmetry_space_group_name_Hall 'P 1'
_cell_length_a 6.056
_cell_length_b 6.056
_cell_length_c 6.056
_cell_angle_alpha 60.00
_cell_angle_beta 60.00
_cell_angle_gamma 60.00
loop_
_atom_site_label
_atom_site_type_symbol
_atom_site_fract_x
_atom_site_fract_y
_atom_site_fract_z
Ac1 Ac 0.250 0.250 0.250
Ac2 Ac 0.750 0.750 0.750
Lu1 Lu 0.000 0.000 0.000
La1 La 0.500 0.500 0.500



Most stable to least stable: A, B



--- A ---
# PBE-GGA Ac2LaLu, optimized geometry
# **M_tot**: 0.0 μB/cell
data_Ac2LaLu
_symmetry_space_group_name_H-M 'P 1'
_symmetry_Int_Tables_number 1
_symmetry_space_group_name_Hall 'P 1'
_cell_length_a 3.879
_cell_length_b 3.879
_cell_length_c 10.293
_cell_angle_alpha 90.00
_cell_angle_beta 90.00
_cell_angle_gamma 90.00
loop_
_atom_site_label
_atom_site_type_symbol
_atom_site_fract_x
_atom_site_fract_y
_atom_site_fract_z
Ac1 Ac 0.000 0.000 0.762
Ac2 Ac 0.000 0.000 0.238
Lu1 Lu 0.500 0.500 0.000
La1 La 0.500 0.500 0.500



--- B ---
# PBE-GGA Ac2LaLu, optimized geometry
# **M_tot**: 0.0 μB/cell
data_Ac2LaLu
_symmetry_space_group_name_H-M 'P 1'
_symmetry_Int_Tables_number 1
_symmetry_space_group_name_Hall 'P 1'
_cell_length_a 3.723
_cell_length_b 3.723
_cell_length_c 13.401
_cell_angle_alpha 82.01
_cell_angle_beta 82.01
_cell_angle_gamma 60.00
loop_
_atom_site_label
_atom_site_type_symbol
_atom_site_fract_x
_atom_site_fract_y
_atom_site_fract_z
Ac1 Ac 0.087 0.087 0.739
Ac2 Ac 0.913 0.913 0.261
Lu1 Lu 0.000 0.000 0.000
La1 La 0.500 0.500 0.500



Most stable to least stable: A, B



--- A ---
# PBE-GGA AcLa2Lu, optimized geometry
# **M_tot**: 0.0 μB/cell
data_AcLa2Lu
_symmetry_space_group_name_H-M 'P 1'
_symmetry_Int_Tables_number 1
_symmetry_space_group_name_Hall 'P 1'
_cell_length_a 5.294
_cell_length_b 5.251
_cell_length_c 5.251
_cell_angle_alpha 90.00
_cell_angle_beta 90.00
_cell_angle_gamma 90.00
loop_
_atom_site_label
_atom_site_type_symbol
_atom_site_fract_x
_atom_site_fract_y
_atom_site_fract_z
Ac1 Ac 0.500 0.000 0.000
Lu1 Lu 0.500 0.500 0.500
La1 La 0.000 0.000 0.500
La2 La 0.000 0.500 0.000



--- B ---
# PBE-GGA AcLa2Lu, optimized geometry
# **M_tot**: 0.0 μB/cell
data_AcLa2Lu
_symmetry_space_group_name_H-M 'P 1'
_symmetry_Int_Tables_number 1
_symmetry_space_group_name_Hall 'P 1'
_cell_length_a 5.971
_cell_length_b 5.971
_cell_length_c 5.971
_cell_angle_alpha 60.00
_cell_angle_beta 60.00
_cell_angle_gamma 60.00
loop_
_atom_site_label
_atom_site_type_symbol
_atom_site_fract_x
_atom_site_fract_y
_atom_site_fract_z
Ac1 Ac 0.500 0.500 0.500
Lu1 Lu 0.000 0.000 0.000
La1 La 0.250 0.250 0.250
La2 La 0.750 0.750 0.750



Most stable to least stable: A, B



--- A ---
# PBE-GGA Ac2LaMg, optimized geometry
# **M_tot**: 0.0 μB/cell
data_Ac2LaMg
_symmetry_space_group_name_H-M 'P 1'
_symmetry_Int_Tables_number 1
_symmetry_space_group_name_Hall 'P 1'
_cell_length_a 5.990
_cell_length_b 5.990
_cell_length_c 5.990
_cell_angle_alpha 60.00
_cell_angle_beta 60.00
_cell_angle_gamma 60.00
loop_
_atom_site_label
_atom_site_type_symbol
_atom_site_fract_x
_atom_site_fract_y
_atom_site_fract_z
Ac1 Ac 0.250 0.250 0.250
Ac2 Ac 0.750 0.750 0.750
Mg1 Mg 0.500 0.500 0.500
La1 La 0.000 0.000 0.000



--- B ---
# PBE-GGA Ac2LaMg, optimized geometry
# **M_tot**: 0.0 μB/cell
data_Ac2LaMg
_symmetry_space_group_name_H-M 'P 1'
_symmetry_Int_Tables_number 1
_symmetry_space_group_name_Hall 'P 1'
_cell_length_a 4.004
_cell_length_b 4.004
_cell_length_c 9.569
_cell_angle_alpha 90.00
_cell_angle_beta 90.00
_cell_angle_gamma 90.00
loop_
_atom_site_label
_atom_site_type_symbol
_atom_site_fract_x
_atom_site_fract_y
_atom_site_fract_z
Ac1 Ac 0.000 0.000 0.774
Ac2 Ac 0.000 0.000 0.226
Mg1 Mg 0.500 0.500 0.000
La1 La 0.500 0.500 0.500



Most stable to least stable: B, A



--- A ---
# PBE-GGA Ac2LaMg, optimized geometry
# **M_tot**: 0.0 μB/cell
data_Ac2LaMg
_symmetry_space_group_name_H-M 'P 1'
_symmetry_Int_Tables_number 1
_symmetry_space_group_name_Hall 'P 1'
_cell_length_a 5.189
_cell_length_b 5.384
_cell_length_c 5.384
_cell_angle_alpha 90.00
_cell_angle_beta 90.00
_cell_angle_gamma 90.00
loop_
_atom_site_label
_atom_site_type_symbol
_atom_site_fract_x
_atom_site_fract_y
_atom_site_fract_z
Ac1 Ac 0.000 0.000 0.500
Ac2 Ac 0.000 0.500 0.000
Mg1 Mg 0.500 0.000 0.000
La1 La 0.500 0.500 0.500



--- B ---
# PBE-GGA Ac2LaMg, optimized geometry
# **M_tot**: 0.0 μB/cell
data_Ac2LaMg
_symmetry_space_group_name_H-M 'P 1'
_symmetry_Int_Tables_number 1
_symmetry_space_group_name_Hall 'P 1'
_cell_length_a 3.791
_cell_length_b 3.791
_cell_length_c 13.443
_cell_angle_alpha 81.89
_cell_angle_beta 81.89
_cell_angle_gamma 60.00
loop_
_atom_site_label
_atom_site_type_symbol
_atom_site_fract_x
_atom_site_fract_y
_atom_site_fract_z
Ac1 Ac 0.089 0.089 0.734
Ac2 Ac 0.911 0.911 0.266
Mg1 Mg 0.000 0.000 0.000
La1 La 0.500 0.500 0.500



--- C ---
# PBE-GGA Ac2LaMg, optimized geometry
# **M_tot**: 0.0 μB/cell
data_Ac2LaMg
_symmetry_space_group_name_H-M 'P 1'
_symmetry_Int_Tables_number 1
_symmetry_space_group_name_Hall 'P 1'
_cell_length_a 3.874
_cell_length_b 3.874
_cell_length_c 12.233
_cell_angle_alpha 80.89
_cell_angle_beta 80.89
_cell_angle_gamma 60.00
loop_
_atom_site_label
_atom_site_type_symbol
_atom_site_fract_x
_atom_site_fract_y
_atom_site_fract_z
Ac1 Ac 0.079 0.079 0.764
Ac2 Ac 0.255 0.255 0.235
La1 La 0.499 0.499 0.502
Mg1 Mg 0.667 0.667 0.999



Most stable to least stable: A, C, B



--- A ---
# PBE-GGA AcLa6Mg, optimized geometry
# **M_tot**: 0.0 μB/cell
data_AcLa6Mg
_symmetry_space_group_name_H-M 'P 1'
_symmetry_Int_Tables_number 1
_symmetry_space_group_name_Hall 'P 1'
_cell_length_a 5.251
_cell_length_b 5.251
_cell_length_c 10.449
_cell_angle_alpha 90.00
_cell_angle_beta 90.00
_cell_angle_gamma 90.00
loop_
_atom_site_label
_atom_site_type_symbol
_atom_site_fract_x
_atom_site_fract_y
_atom_site_fract_z
Ac1 Ac 0.000 0.000 0.000
La1 La 0.500 0.500 0.000
La2 La 0.500 0.500 0.500
La3 La 0.500 0.000 0.257
La4 La 0.500 0.000 0.743
La5 La 0.000 0.500 0.257
La6 La 0.000 0.500 0.743
Mg1 Mg 0.000 0.000 0.500



--- B ---
# PBE-GGA AcLa6Mg, optimized geometry
# **M_tot**: 0.0 μB/cell
data_AcLa6Mg
_symmetry_space_group_name_H-M 'P 1'
_symmetry_Int_Tables_number 1
_symmetry_space_group_name_Hall 'P 1'
_cell_length_a 5.986
_cell_length_b 7.499
_cell_length_c 7.499
_cell_angle_alpha 120.31
_cell_angle_beta 90.00
_cell_angle_gamma 90.00
loop_
_atom_site_label
_atom_site_type_symbol
_atom_site_fract_x
_atom_site_fract_y
_atom_site_fract_z
Ac1 Ac 0.500 0.671 0.329
La1 La 0.500 0.156 0.331
La2 La 0.500 0.669 0.844
La3 La 0.000 0.328 0.161
La4 La 0.000 0.839 0.672
La5 La 0.000 0.333 0.667
La6 La 0.000 0.839 0.161
Mg1 Mg 0.500 0.165 0.835



Most stable to least stable: A, B



--- A ---
# PBE-GGA Ac4LaMg, optimized geometry
# **M_tot**: 0.0 μB/cell
data_Ac4LaMg
_symmetry_space_group_name_H-M 'P 1'
_symmetry_Int_Tables_number 1
_symmetry_space_group_name_Hall 'P 1'
_cell_length_a 7.207
_cell_length_b 7.207
_cell_length_c 7.207
_cell_angle_alpha 60.00
_cell_angle_beta 60.00
_cell_angle_gamma 60.00
loop_
_atom_site_label
_atom_site_type_symbol
_atom_site_fract_x
_atom_site_fract_y
_atom_site_fract_z
Ac1 Ac 0.625 0.625 0.126
Ac2 Ac 0.625 0.126 0.625
Ac3 Ac 0.625 0.625 0.625
Ac4 Ac 0.126 0.625 0.625
Mg1 Mg 0.250 0.250 0.250
La1 La 0.000 0.000 0.000



--- B ---
# PBE-GGA Ac4LaMg, optimized geometry
# **M_tot**: 0.0 μB/cell
data_Ac4LaMg
_symmetry_space_group_name_H-M 'P 1'
_symmetry_Int_Tables_number 1
_symmetry_space_group_name_Hall 'P 1'
_cell_length_a 7.132
_cell_length_b 7.037
_cell_length_c 11.356
_cell_angle_alpha 100.23
_cell_angle_beta 100.58
_cell_angle_gamma 114.89
loop_
_atom_site_label
_atom_site_type_symbol
_atom_site_fract_x
_atom_site_fract_y
_atom_site_fract_z
Ac1 Ac 0.299 0.061 0.601
Ac2 Ac 0.114 0.888 0.239
Ac3 Ac 0.199 0.461 0.399
Ac4 Ac 0.375 0.649 0.761
Ac5 Ac 0.701 0.939 0.399
Ac6 Ac 0.801 0.539 0.601
Ac7 Ac 0.886 0.112 0.761
Ac8 Ac 0.625 0.351 0.239
La1 La 0.281 0.531 0.063
La2 La 0.719 0.469 0.937
Mg1 Mg 0.774 0.024 0.049
Mg2 Mg 0.226 0.976 0.951



Most stable to least stable: B, A



--- A ---
# PBE-GGA AcLa2Mg, optimized geometry
# **M_tot**: 0.0 μB/cell
data_AcLa2Mg
_symmetry_space_group_name_H-M 'P 1'
_symmetry_Int_Tables_number 1
_symmetry_space_group_name_Hall 'P 1'
_cell_length_a 5.284
_cell_length_b 5.189
_cell_length_c 5.189
_cell_angle_alpha 90.00
_cell_angle_beta 90.00
_cell_angle_gamma 90.00
loop_
_atom_site_label
_atom_site_type_symbol
_atom_site_fract_x
_atom_site_fract_y
_atom_site_fract_z
Ac1 Ac 0.500 0.500 0.500
Mg1 Mg 0.500 0.000 0.000
La1 La 0.000 0.000 0.500
La2 La 0.000 0.500 0.000



--- B ---
# PBE-GGA AcLa2Mg, optimized geometry
# **M_tot**: 0.0 μB/cell
data_AcLa2Mg
_symmetry_space_group_name_H-M 'P 1'
_symmetry_Int_Tables_number 1
_symmetry_space_group_name_Hall 'P 1'
_cell_length_a 5.890
_cell_length_b 5.890
_cell_length_c 5.890
_cell_angle_alpha 60.00
_cell_angle_beta 60.00
_cell_angle_gamma 60.00
loop_
_atom_site_label
_atom_site_type_symbol
_atom_site_fract_x
_atom_site_fract_y
_atom_site_fract_z
Ac1 Ac 0.000 0.000 0.000
Mg1 Mg 0.500 0.500 0.500
La1 La 0.250 0.250 0.250
La2 La 0.750 0.750 0.750



Most stable to least stable: A, B